Record 1
Computed, not measured: a relaxed structure of LaNd4Er4 at the GGA-PBE level of DFT.

Geometry as POSCAR:
```
LaNd4Er4
1.0
-5.4233 5.4233 2.5570
5.4233 -5.4233 2.5570
5.4233 5.4233 -2.5570
La Nd Er
1 4 4
direct
0.0000 0.0000 0.0000
0.3315 0.3315 0.6630
0.3315 0.6685 0.0000
0.6685 0.3315 0.0000
0.6685 0.6685 0.3370
0.0000 0.3375 0.3375
0.0000 0.6625 0.6625
0.3375 0.0000 0.3375
0.6625 0.0000 0.6625
```

Space-group type: No. 139
VASP energy, eV for the cell shown: -42.030
DFT formation energy, eV/atom: 0.024
Density of states at the Fermi level, states/eV/f.u.: 13.99


Record 2
Computed, not measured: a relaxed structure of La9Nd4Er at the GGA-PBE level of DFT.

Geometry as POSCAR:
```
La9Nd4Er
1.0
10.0956 0.0000 0.0000
-5.0478 8.7431 0.0000
0.0000 0.0000 11.6566
La Nd Er
18 8 2
direct
0.0789 0.5394 0.2500
0.2072 0.4145 0.5305
0.2072 0.4145 0.9695
0.2072 0.7928 0.5305
0.2072 0.7928 0.9695
0.4145 0.2072 0.0305
0.4145 0.2072 0.4695
0.4606 0.5394 0.2500
0.4606 0.9211 0.2500
0.5394 0.0789 0.7500
0.5394 0.4606 0.7500
0.5855 0.7928 0.5305
0.5855 0.7928 0.9695
0.7928 0.2072 0.0305
0.7928 0.2072 0.4695
0.7928 0.5855 0.0305
0.7928 0.5855 0.4695
0.9211 0.4606 0.7500
0.0000 0.0000 0.0000
0.0000 0.0000 0.5000
0.1135 0.2270 0.2500
0.1135 0.8865 0.2500
0.2270 0.1135 0.7500
0.7730 0.8865 0.2500
0.8865 0.1135 0.7500
0.8865 0.7730 0.7500
0.3333 0.6667 0.7500
0.6667 0.3333 0.2500
```

Space-group type: No. 194
VASP energy, eV for the cell shown: -132.007
DFT formation energy, eV/atom: 0.141
Density of states at the Fermi level, states/eV/f.u.: 23.44


Record 3
Computed, not measured: a relaxed structure of LaNd10Er4 at the GGA-PBE level of DFT.

Geometry as POSCAR:
```
LaNd10Er4
1.0
-6.3860 6.3860 3.4533
6.3860 -6.3860 3.4533
6.3860 6.3860 -3.4533
La Nd Er
1 10 4
direct
0.0000 0.0000 0.0000
0.0430 0.6264 0.1608
0.1177 0.9570 0.5834
0.2500 0.7500 0.5000
0.3736 0.5343 0.4166
0.4657 0.8823 0.8392
0.5343 0.1177 0.1608
0.6264 0.4657 0.5834
0.7500 0.2500 0.5000
0.8823 0.0430 0.4166
0.9570 0.3736 0.8392
0.3233 0.4325 0.7558
0.4325 0.6767 0.1092
0.5675 0.3233 0.8908
0.6767 0.5675 0.2442
```

Space-group type: No. 87
VASP energy, eV for the cell shown: -63.330
DFT formation energy, eV/atom: 0.502
Density of states at the Fermi level, states/eV/f.u.: 27.35


Record 4
Computed, not measured: a relaxed structure of La2Nd2Er at the GGA-PBE level of DFT.

Geometry as POSCAR:
```
La2Nd2Er
1.0
13.0408 -1.8466 0.0000
13.0408 1.8466 0.0000
-1.0328 0.0000 7.2818
La Nd Er
4 4 2
direct
0.0005 0.0005 0.2551
0.1997 0.1997 0.8481
0.8003 0.8003 0.1519
0.9995 0.9995 0.7449
0.1985 0.1985 0.3512
0.4011 0.4011 0.9501
0.5989 0.5989 0.0499
0.8015 0.8015 0.6488
0.3998 0.3998 0.4509
0.6002 0.6002 0.5491
```

Space-group type: No. 12
VASP energy, eV for the cell shown: -47.675
DFT formation energy, eV/atom: 0.023
Density of states at the Fermi level, states/eV/f.u.: 9.27


Record 5
Computed, not measured: a relaxed structure of LaNd6Er5 at the GGA-PBE level of DFT.

Geometry as POSCAR:
```
LaNd6Er5
1.0
-2.5672 5.0857 7.6768
2.5672 -5.0857 7.6768
2.5672 5.0857 -7.6768
La Nd Er
1 6 5
direct
0.0000 0.0000 0.0000
0.0854 0.8333 0.2521
0.2536 0.5000 0.7536
0.4188 0.1667 0.2521
0.5812 0.8333 0.7479
0.7464 0.5000 0.2464
0.9146 0.1667 0.7479
0.1685 0.6685 0.5000
0.3325 0.3325 0.0000
0.5000 0.0000 0.5000
0.6675 0.6675 0.0000
0.8315 0.3315 0.5000
```

Space-group type: No. 71
VASP energy, eV for the cell shown: -56.108
DFT formation energy, eV/atom: 0.020
Density of states at the Fermi level, states/eV/f.u.: 16.97


Record 6
Computed, not measured: a relaxed structure of LaNd2Er6 at the GGA-PBE level of DFT.

Geometry as POSCAR:
```
LaNd2Er6
1.0
10.7169 0.0000 0.0000
0.0000 10.7169 0.0000
0.0000 0.0000 5.0661
La Nd Er
2 4 12
direct
0.0000 0.0000 0.0000
0.5000 0.5000 0.5000
0.1690 0.1690 0.5000
0.3310 0.6690 0.0000
0.6690 0.3310 0.0000
0.8310 0.8310 0.5000
0.0014 0.3362 0.0000
0.1638 0.5014 0.5000
0.1688 0.8312 0.5000
0.3312 0.3312 0.0000
0.3362 0.0014 0.0000
0.4986 0.8362 0.5000
0.5014 0.1638 0.5000
0.6638 0.9986 0.0000
0.6688 0.6688 0.0000
0.8312 0.1688 0.5000
0.8362 0.4986 0.5000
0.9986 0.6638 0.0000
```

Space-group type: No. 136
VASP energy, eV for the cell shown: -83.180
DFT formation energy, eV/atom: 0.028
Density of states at the Fermi level, states/eV/f.u.: 12.33